Computed, not measured: MnCr2Se4 after structural relaxation at the PBEsol level of DFT.

Computed properties:
**Electronic total energy**: -6.94 eV per atom
**E_form (uncorrected)**: -0.4214 eV/atom

Cell: 12.985 3.630 6.271 Å, 90.00 118.55 90.00°
Space group C2/m (No. 12)
Unique sites:
Mn (0.000, 0.000, 0.000)
Cr (0.243, 0.500, 0.725)
Se (0.121, 0.000, 0.455)
Se (0.133, 0.500, 0.970)